## HfAlCoTc (PBE)

Data for an optimized crystal structure of HfAlCoTc.

Cell and atoms, written as POSCAR:
```
HfAlCoTc
1.0
3.229 0.000 0.000
0.000 4.244 0.000
0.000 0.000 4.333
Hf Al Co Tc
1 1 1 1
Direct
0.000 0.000 0.000
0.000 0.500 0.500
0.500 0.500 0.000
0.500 0.000 0.500
```

Output
Magnetic moment = 0.00 μB/cell
SG = Pmmm (47)
Crystal system = orthorhombic
Calculated volume = 14.8 Å³/atom
Formation energy from the elements = -457 meV/atom
Final energy = -0.606 Ry/atom


## HfAlCo2Tc (PBE)

Data for an optimized crystal structure of HfAlCo2Tc.

Cell and atoms, written as POSCAR:
```
HfAlCo2Tc
1.0
4.189 0.000 0.000
0.000 4.189 0.000
0.000 0.000 4.503
Hf Al Co Tc
1 1 2 1
Direct
0.000 0.000 0.000
0.500 0.500 0.500
0.000 0.500 0.500
0.500 0.000 0.500
0.500 0.500 0.000
```

Output
Magnetic moment = 1.66 μB/cell
SG = P4/mmm (123)
Crystal system = tetragonal
Calculated volume = 15.8 Å³/atom
Formation energy from the elements = 485 meV/atom
Final energy = -0.527 Ry/atom


## Hf2Al2VCo5 (PBE)

Data for an optimized crystal structure of Hf2Al2VCo5.

Cell and atoms, written as POSCAR:
```
Hf2Al2VCo5
1.0
9.146 0.000 0.000
0.000 9.146 0.000
0.000 0.000 3.262
Hf Al V Co
4 4 2 10
Direct
0.173 0.327 0.000
0.327 0.827 0.000
0.673 0.173 0.000
0.827 0.673 0.000
0.126 0.626 0.000
0.374 0.126 0.000
0.626 0.874 0.000
0.874 0.374 0.000
0.000 0.000 0.000
0.500 0.500 0.000
0.000 0.500 0.500
0.056 0.802 0.500
0.198 0.056 0.500
0.302 0.556 0.500
0.444 0.302 0.500
0.500 0.000 0.500
0.556 0.698 0.500
0.698 0.444 0.500
0.802 0.944 0.500
0.944 0.198 0.500
```

Output
Magnetic moment = 0.00 μB/cell
SG = P4/mbm (127)
Crystal system = tetragonal
Calculated volume = 13.6 Å³/atom
Formation energy from the elements = -265 meV/atom
Final energy = -0.549 Ry/atom


## AlCoHg2 (PBE)

Data for an optimized crystal structure of AlCoHg2.

Cell and atoms, written as POSCAR:
```
AlCoHg2
1.0
0.000 3.266 3.266
3.266 0.000 3.266
3.266 3.266 0.000
Al Co Hg
1 1 2
Direct
0.000 0.000 0.000
0.250 0.250 0.250
0.500 0.500 0.500
0.750 0.750 0.750
```

Output
Magnetic moment = 0.64 μB/cell
SG = F-43m (216)
Crystal system = cubic
Calculated volume = 17.4 Å³/atom
Formation energy from the elements = 440 meV/atom
Final energy = -0.178 Ry/atom